{"formula": "LiCd3Rh", "functional": "GGA-PBE", "state": "optimized geometry", "cell": [[4.553, -0.035, -1.337], [-0.252, 5.654, -0.653], [-0.261, -0.508, 7.210]], "species": ["Li", "Li", "Cd", "Cd", "Cd", "Cd", "Cd", "Cd", "Rh", "Rh"], "fractional_positions": [[0.376, 0.843, 0.858], [0.668, 0.736, 0.295], [0.066, 0.543, 0.091], [0.442, 0.343, 0.856], [0.602, 0.236, 0.298], [0.978, 0.036, 0.063], [0.251, 0.938, 0.486], [0.793, 0.641, 0.668], [0.186, 0.436, 0.471], [0.858, 0.143, 0.683]], "e_form_ev_per_atom": -0.183, "crystal_system": "triclinic", "n_ef_per_ev_cell": 3.29, "sg": "P-1"}